1.
# La4GaN2 PBE relaxed
data_La4GaN2
_cell_length_a 5.727
_cell_length_b 5.727
_cell_length_c 7.333
_cell_angle_alpha 67.02
_cell_angle_beta 67.02
_cell_angle_gamma 90.00
_symmetry_space_group_name_H-M 'P 1'
_symmetry_Int_Tables_number 1
loop_
_symmetry_equiv_pos_as_xyz
'x,y,z'
loop_
_atom_site_label
_atom_site_fract_x
_atom_site_fract_y
_atom_site_fract_z
N1 0.446 0.446 0.108
La1 0.738 0.738 0.525
La2 0.000 0.500 0.000
N2 0.554 0.554 0.892
La3 0.262 0.262 0.475
Ga1 0.000 0.000 0.000
La4 0.500 0.000 0.000
# SG = No. 139
# excess energy over the best structure of this formula in the dataset = 0.427 eV per atom
# uncorrected energy = -6.10 eV per atom

=====

2.
# La2Ga2N PBE relaxed
data_La2Ga2N
_cell_length_a 6.113
_cell_length_b 6.113
_cell_length_c 5.418
_cell_angle_alpha 55.66
_cell_angle_beta 55.66
_cell_angle_gamma 90.00
_symmetry_space_group_name_H-M 'P 1'
_symmetry_Int_Tables_number 1
loop_
_symmetry_equiv_pos_as_xyz
'x,y,z'
loop_
_atom_site_label
_atom_site_fract_x
_atom_site_fract_y
_atom_site_fract_z
N1 0.000 0.000 0.000
Ga1 0.691 0.691 0.617
La1 0.750 0.250 0.500
Ga2 0.309 0.309 0.383
La2 0.250 0.750 0.500
# SG = No. 139
# excess energy over the best structure of this formula in the dataset = 0.043 eV per atom
# uncorrected energy = -4.66 eV per atom

=====

3.
# La2GaN PBE relaxed
data_La2GaN
_cell_length_a 3.786
_cell_length_b 3.786
_cell_length_c 8.046
_cell_angle_alpha 76.39
_cell_angle_beta 76.39
_cell_angle_gamma 60.00
_symmetry_space_group_name_H-M 'P 1'
_symmetry_Int_Tables_number 1
loop_
_symmetry_equiv_pos_as_xyz
'x,y,z'
loop_
_atom_site_label
_atom_site_fract_x
_atom_site_fract_y
_atom_site_fract_z
La1 0.770 0.770 0.689
La2 0.230 0.230 0.311
N1 0.500 0.500 0.500
Ga1 0.000 0.000 0.000
# SG = No. 166
# uncorrected energy = -6.11 eV per atom

=====

4.
# La4Ga2N PBE relaxed
data_La4Ga2N
_cell_length_a 5.061
_cell_length_b 5.061
_cell_length_c 8.481
_cell_angle_alpha 72.64
_cell_angle_beta 72.64
_cell_angle_gamma 90.00
_symmetry_space_group_name_H-M 'P 1'
_symmetry_Int_Tables_number 1
loop_
_symmetry_equiv_pos_as_xyz
'x,y,z'
loop_
_atom_site_label
_atom_site_fract_x
_atom_site_fract_y
_atom_site_fract_z
La1 0.171 0.171 0.659
La2 0.000 0.500 0.000
La3 0.500 0.000 0.000
Ga1 0.371 0.371 0.258
N1 0.000 0.000 0.000
La4 0.829 0.829 0.341
Ga2 0.629 0.629 0.742
# SG = No. 139
# excess energy over the best structure of this formula in the dataset = 0.042 eV per atom
# uncorrected energy = -5.56 eV per atom

=====

5.
# La8GaN4 PBE relaxed
data_La8GaN4
_cell_length_a 7.875
_cell_length_b 7.875
_cell_length_c 7.875
_cell_angle_alpha 60.00
_cell_angle_beta 60.00
_cell_angle_gamma 60.00
_symmetry_space_group_name_H-M 'P 1'
_symmetry_Int_Tables_number 1
loop_
_symmetry_equiv_pos_as_xyz
'x,y,z'
loop_
_atom_site_label
_atom_site_fract_x
_atom_site_fract_y
_atom_site_fract_z
La1 0.605 0.605 0.185
N1 0.372 0.885 0.372
La2 0.605 0.185 0.605
La3 0.140 0.579 0.140
La4 0.185 0.605 0.605
Ga1 0.750 0.750 0.750
La5 0.140 0.140 0.579
La6 0.140 0.140 0.140
La7 0.579 0.140 0.140
N2 0.372 0.372 0.372
La8 0.605 0.605 0.605
N3 0.885 0.372 0.372
N4 0.372 0.372 0.885
# SG = No. 216
# uncorrected energy = -6.61 eV per atom

=====

6.
# La2GaN PBE relaxed
data_La2GaN
_cell_length_a 5.017
_cell_length_b 6.985
_cell_length_c 6.985
_cell_angle_alpha 64.46
_cell_angle_beta 68.95
_cell_angle_gamma 68.95
_symmetry_space_group_name_H-M 'P 1'
_symmetry_Int_Tables_number 1
loop_
_symmetry_equiv_pos_as_xyz
'x,y,z'
loop_
_atom_site_label
_atom_site_fract_x
_atom_site_fract_y
_atom_site_fract_z
La1 0.856 0.586 0.702
La2 0.567 0.233 0.633
La3 0.433 0.867 0.267
La4 0.144 0.798 0.914
Ga1 0.173 0.337 0.318
N1 0.366 0.632 0.635
Ga2 0.827 0.182 0.163
N2 0.634 0.865 0.868
# SG = No. 46
# uncorrected energy = -6.16 eV per atom

=====

7.
# La4GaN2 PBE relaxed
data_La4GaN2
_cell_length_a 3.839
_cell_length_b 6.671
_cell_length_c 13.474
_cell_angle_alpha 90.00
_cell_angle_beta 90.00
_cell_angle_gamma 106.72
_symmetry_space_group_name_H-M 'P 1'
_symmetry_Int_Tables_number 1
loop_
_symmetry_equiv_pos_as_xyz
'x,y,z'
loop_
_atom_site_label
_atom_site_fract_x
_atom_site_fract_y
_atom_site_fract_z
La1 0.236 0.472 0.895
La2 0.764 0.528 0.395
N1 0.860 0.720 0.944
N2 0.140 0.280 0.444
N3 0.860 0.720 0.556
La3 0.919 0.838 0.750
Ga1 0.397 0.794 0.250
N4 0.140 0.280 0.056
La4 0.764 0.528 0.105
La5 0.500 0.000 0.500
La6 0.081 0.162 0.250
La7 0.236 0.472 0.605
Ga2 0.603 0.206 0.750
La8 0.500 0.000 0.000
# SG = No. 63
# excess energy over the best structure of this formula in the dataset = 0.000 eV per atom
# uncorrected energy = -6.53 eV per atom

=====

8.
# La2GaN PBE relaxed
data_La2GaN
_cell_length_a 5.003
_cell_length_b 5.003
_cell_length_c 5.003
_cell_angle_alpha 60.00
_cell_angle_beta 60.00
_cell_angle_gamma 60.00
_symmetry_space_group_name_H-M 'P 1'
_symmetry_Int_Tables_number 1
loop_
_symmetry_equiv_pos_as_xyz
'x,y,z'
loop_
_atom_site_label
_atom_site_fract_x
_atom_site_fract_y
_atom_site_fract_z
Ga1 0.500 0.500 0.500
La1 0.750 0.750 0.750
La2 0.250 0.250 0.250
N1 0.000 0.000 0.000
# SG = No. 225
# uncorrected energy = -5.28 eV per atom